Density functional theory data (GGA-PBE) for a relaxed Cs2LiCd2Br6 crystal.

a b c (Å): 8.032 8.032 8.903
angles (deg): 116.52 116.52 60.12
Positions (direct):
Cs 0.216 0.216 0.199
Cs 0.784 0.784 0.801
Li 0.000 0.000 0.500
Cd 0.458 0.458 0.815
Cd 0.542 0.542 0.185
Br 0.181 0.720 0.234
Br 0.237 0.237 0.622
Br 0.280 0.819 0.766
Br 0.720 0.181 0.234
Br 0.763 0.763 0.378
Br 0.819 0.280 0.766

Output
electronic total energy	-2.61	eV per atom
formation energy from raw total energies	-1200	meV/atom

***

Density functional theory data (GGA-PBE) for a relaxed Sm7Y3Ho crystal.

a b c (Å): 8.526 8.526 5.875
angles (deg): 110.11 110.11 82.78
Positions (direct):
Sm 0.000 0.000 0.000
Sm 0.097 0.515 0.306
Sm 0.289 0.289 0.790
Sm 0.485 0.903 0.694
Sm 0.515 0.097 0.306
Sm 0.711 0.711 0.210
Sm 0.903 0.485 0.694
Y 0.296 0.704 0.000
Y 0.500 0.500 0.500
Y 0.704 0.296 0.000
Ho 0.000 0.000 0.500

Output
electronic total energy	-4.94	eV per atom
energy relative to the lowest polymorph listed for this composition	114	meV/atom

***

Density functional theory data (GGA-PBE) for a relaxed TcAgCl6 crystal.

a b c (Å): 6.717 6.717 6.515
angles (deg): 101.16 101.16 121.29
Positions (direct):
Tc 0.000 0.000 0.000
Ag 0.500 0.500 0.500
Cl 0.085 0.374 0.236
Cl 0.214 0.214 0.791
Cl 0.374 0.085 0.236
Cl 0.626 0.915 0.764
Cl 0.786 0.786 0.209
Cl 0.915 0.626 0.764

Output
electronic total energy	-3.57	eV per atom
formation energy from raw total energies	-533	meV/atom
energy relative to the lowest polymorph listed for this composition	9	meV/atom

***

Density functional theory data (GGA-PBE) for a relaxed NaHf2Pt2 crystal.

a b c (Å): 6.251 6.251 6.251
angles (deg): 136.87 136.87 62.63
Positions (direct):
Na 0.000 0.000 0.000
Hf 0.250 0.750 0.500
Hf 0.750 0.250 0.500
Pt 0.377 0.377 0.000
Pt 0.623 0.623 0.000

Output
electronic total energy	-7.34	eV per atom
energy relative to the lowest polymorph listed for this composition	39	meV/atom

***

Density functional theory data (GGA-PBE) for a relaxed TbCeCu4 crystal.

a b c (Å): 5.492 5.492 5.492
angles (deg): 133.61 102.79 95.11
Positions (direct):
Tb 0.000 0.000 0.000
Ce 0.576 0.076 0.500
Cu 0.169 0.371 0.798
Cu 0.404 0.701 0.702
Cu 0.573 0.371 0.202
Cu 0.999 0.701 0.298

Output
electronic total energy	-4.69	eV per atom
energy relative to the lowest polymorph listed for this composition	0	meV/atom

***

Density functional theory data (GGA-PBE) for a relaxed Zr2ScMnW crystal.

a b c (Å): 4.967 4.967 4.472
angles (deg): 90.00 90.00 90.00
Positions (direct):
Zr 0.000 0.500 0.000
Zr 0.500 0.000 0.000
Sc 0.000 0.000 0.000
Mn 0.500 0.500 0.500
W 0.000 0.000 0.500

Output
electronic total energy	-7.10	eV per atom

***

Density functional theory data (GGA-PBE) for a relaxed Sr2TlCu2Pd5 crystal.

a b c (Å): 9.846 9.846 3.963
angles (deg): 90.00 90.00 90.00
Positions (direct):
Sr 0.178 0.322 0.000
Sr 0.322 0.822 0.000
Sr 0.678 0.178 0.000
Sr 0.822 0.678 0.000
Tl 0.000 0.000 0.000
Tl 0.500 0.500 0.000
Cu 0.118 0.618 0.000
Cu 0.382 0.118 0.000
Cu 0.618 0.882 0.000
Cu 0.882 0.382 0.000
Pd 0.000 0.500 0.500
Pd 0.066 0.786 0.500
Pd 0.214 0.066 0.500
Pd 0.286 0.566 0.500
Pd 0.434 0.286 0.500
Pd 0.500 0.000 0.500
Pd 0.566 0.714 0.500
Pd 0.714 0.434 0.500
Pd 0.786 0.934 0.500
Pd 0.934 0.214 0.500

Output
electronic total energy	-4.41	eV per atom

***

Density functional theory data (GGA-PBE) for a relaxed La4Nd2Dy3 crystal.

a b c (Å): 8.200 8.200 8.174
angles (deg): 107.61 107.61 36.89
Positions (direct):
La 0.054 0.054 0.333
La 0.277 0.277 0.667
La 0.723 0.723 0.333
La 0.946 0.946 0.667
Nd 0.166 0.166 0.000
Nd 0.834 0.834 0.000
Dy 0.389 0.389 0.330
Dy 0.500 0.500 0.000
Dy 0.611 0.611 0.670

Output
electronic total energy	-4.76	eV per atom
energy relative to the lowest polymorph listed for this composition	0	meV/atom

***

Density functional theory data (GGA-PBE) for a relaxed YIr2BrO crystal.

a b c (Å): 4.659 4.659 4.324
angles (deg): 90.00 90.00 90.00
Positions (direct):
Y 0.000 0.000 0.000
Ir 0.000 0.500 0.500
Ir 0.500 0.000 0.500
Br 0.500 0.500 0.500
O 0.500 0.500 0.000

Output
electronic total energy	-5.55	eV per atom
formation energy from raw total energies	611	meV/atom

***

Density functional theory data (GGA-PBE) for a relaxed Tb4Ho5Pu crystal.

a b c (Å): 8.521 8.521 11.275
angles (deg): 108.56 108.56 23.67
Positions (direct):
Tb 0.085 0.085 0.291
Tb 0.394 0.394 0.201
Tb 0.606 0.606 0.799
Tb 0.915 0.915 0.709
Ho 0.189 0.189 0.079
Ho 0.210 0.210 0.615
Ho 0.500 0.500 0.500
Ho 0.790 0.790 0.385
Ho 0.811 0.811 0.921
Pu 0.500 0.500 0.000

Output
electronic total energy	-5.51	eV per atom
energy relative to the lowest polymorph listed for this composition	0	meV/atom

***

Density functional theory data (GGA-PBE) for a relaxed Pu3SO3 crystal.

a b c (Å): 7.705 7.705 7.705
angles (deg): 51.77 51.77 51.77
Positions (direct):
Pu 0.058 0.408 0.751
Pu 0.249 0.942 0.592
Pu 0.408 0.751 0.058
Pu 0.592 0.249 0.942
Pu 0.751 0.058 0.408
Pu 0.942 0.592 0.249
S 0.167 0.167 0.167
S 0.833 0.833 0.833
O 0.060 0.700 0.373
O 0.300 0.627 0.940
O 0.373 0.060 0.700
O 0.627 0.940 0.300
O 0.700 0.373 0.060
O 0.940 0.300 0.627

Output
electronic total energy	-11.50	eV per atom
formation energy from raw total energies	-2643	meV/atom

***

Density functional theory data (GGA-PBE) for a relaxed Tb2Er2Pt3 crystal.

a b c (Å): 7.544 7.544 7.544
angles (deg): 109.47 109.47 109.47
Positions (direct):
Tb 0.000 0.127 0.500
Tb 0.127 0.500 0.000
Tb 0.373 0.373 0.373
Tb 0.500 0.000 0.127
Er 0.000 0.626 0.500
Er 0.500 0.000 0.626
Er 0.626 0.500 0.000
Er 0.874 0.874 0.874
Pt 0.121 0.871 0.250
Pt 0.250 0.121 0.871
Pt 0.379 0.629 0.750
Pt 0.629 0.750 0.379
Pt 0.750 0.379 0.629
Pt 0.871 0.250 0.121

Output
electronic total energy	-6.34	eV per atom

***

Density functional theory data (GGA-PBE) for a relaxed Cd5Pd3Cl12 crystal.

a b c (Å): 13.800 13.800 13.800
angles (deg): 109.47 109.47 109.47
Positions (direct):
Cd 0.000 0.000 0.000
Cd 0.000 0.000 0.500
Cd 0.000 0.500 0.000
Cd 0.000 0.500 0.500
Cd 0.125 0.750 0.875
Cd 0.125 0.875 0.250
Cd 0.250 0.125 0.875
Cd 0.250 0.625 0.375
Cd 0.375 0.250 0.625
Cd 0.375 0.625 0.750
Cd 0.500 0.000 0.000
Cd 0.500 0.000 0.500
Cd 0.500 0.500 0.000
Cd 0.500 0.500 0.500
Cd 0.625 0.375 0.250
Cd 0.625 0.750 0.375
Cd 0.750 0.375 0.625
Cd 0.750 0.875 0.125
Cd 0.875 0.125 0.750
Cd 0.875 0.250 0.125
Pd 0.125 0.250 0.375
Pd 0.125 0.375 0.750
Pd 0.250 0.375 0.125
Pd 0.250 0.875 0.625
Pd 0.375 0.125 0.250
Pd 0.375 0.750 0.125
Pd 0.625 0.250 0.875
Pd 0.625 0.875 0.750
Pd 0.750 0.125 0.375
Pd 0.750 0.625 0.875
Pd 0.875 0.625 0.250
Pd 0.875 0.750 0.625
Cl 0.043 0.220 0.119
Cl 0.043 0.323 0.924
Cl 0.076 0.619 0.399
Cl 0.076 0.957 0.677
Cl 0.101 0.720 0.677
Cl 0.101 0.881 0.424
Cl 0.119 0.043 0.220
Cl 0.119 0.576 0.899
Cl 0.177 0.220 0.601
Cl 0.177 0.457 0.576
Cl 0.220 0.119 0.043
Cl 0.220 0.601 0.177
Cl 0.280 0.323 0.899
Cl 0.280 0.457 0.381
Cl 0.323 0.899 0.280
Cl 0.323 0.924 0.043
Cl 0.381 0.280 0.457
Cl 0.381 0.601 0.924
Cl 0.399 0.076 0.619
Cl 0.399 0.823 0.780
Cl 0.424 0.101 0.881
Cl 0.424 0.823 0.543
Cl 0.457 0.381 0.280
Cl 0.457 0.576 0.177
Cl 0.543 0.424 0.823
Cl 0.543 0.619 0.720
Cl 0.576 0.177 0.457
Cl 0.576 0.899 0.119
Cl 0.601 0.177 0.220
Cl 0.601 0.924 0.381
Cl 0.619 0.399 0.076
Cl 0.619 0.720 0.543
Cl 0.677 0.076 0.957
Cl 0.677 0.101 0.720
Cl 0.720 0.543 0.619
Cl 0.720 0.677 0.101
Cl 0.780 0.399 0.823
Cl 0.780 0.881 0.957
Cl 0.823 0.543 0.424
Cl 0.823 0.780 0.399
Cl 0.881 0.424 0.101
Cl 0.881 0.957 0.780
Cl 0.899 0.119 0.576
Cl 0.899 0.280 0.323
Cl 0.924 0.043 0.323
Cl 0.924 0.381 0.601
Cl 0.957 0.677 0.076
Cl 0.957 0.780 0.881

Output
electronic total energy	-2.68	eV per atom
formation energy from raw total energies	-560	meV/atom

***

Density functional theory data (GGA-PBE) for a relaxed Rb3Cu2BiCl9 crystal.

a b c (Å): 7.253 7.253 8.992
angles (deg): 90.00 90.00 120.00
Positions (direct):
Rb 0.000 0.000 0.000
Rb 0.333 0.667 0.687
Rb 0.667 0.333 0.313
Cu 0.333 0.667 0.138
Cu 0.667 0.333 0.862
Bi 0.000 0.000 0.500
Cl 0.000 0.500 0.000
Cl 0.174 0.348 0.322
Cl 0.174 0.826 0.322
Cl 0.348 0.174 0.678
Cl 0.500 0.000 0.000
Cl 0.500 0.500 0.000
Cl 0.652 0.826 0.322
Cl 0.826 0.174 0.678
Cl 0.826 0.652 0.678

Output
electronic total energy	-3.32	eV per atom
formation energy from raw total energies	-1218	meV/atom

***

Density functional theory data (GGA-PBE) for a relaxed SrLu2Ir crystal.

a b c (Å): 9.475 9.475 9.475
angles (deg): 25.10 25.10 25.10
Positions (direct):
Sr 0.000 0.000 0.000
Lu 0.214 0.214 0.214
Lu 0.786 0.786 0.786
Ir 0.500 0.500 0.500

Output
electronic total energy	-5.33	eV per atom

***

Density functional theory data (GGA-PBE) for a relaxed Sm5Dy2Th3 crystal.

a b c (Å): 6.227 6.227 11.382
angles (deg): 90.14 90.14 48.10
Positions (direct):
Sm 0.000 0.000 0.000
Sm 0.199 0.199 0.599
Sm 0.301 0.301 0.898
Sm 0.699 0.699 0.102
Sm 0.801 0.801 0.401
Dy 0.402 0.402 0.204
Dy 0.598 0.598 0.796
Th 0.098 0.098 0.301
Th 0.500 0.500 0.500
Th 0.902 0.902 0.699

Output
electronic total energy	-5.46	eV per atom

***

Density functional theory data (GGA-PBE) for a relaxed ZnTe crystal.

a b c (Å): 10.605 10.605 4.449
angles (deg): 90.00 90.00 120.00
Positions (direct):
Zn 0.073 0.417 0.250
Zn 0.344 0.927 0.250
Zn 0.417 0.344 0.750
Zn 0.583 0.656 0.250
Zn 0.656 0.073 0.750
Zn 0.927 0.583 0.750
Te 0.090 0.683 0.250
Te 0.317 0.407 0.250
Te 0.407 0.090 0.750
Te 0.593 0.910 0.250
Te 0.683 0.593 0.750
Te 0.910 0.317 0.750

Output
electronic total energy	-2.57	eV per atom
formation energy from raw total energies	-363	meV/atom

***

Density functional theory data (GGA-PBE) for a relaxed Ca2TmMg12Cd3 crystal.

a b c (Å): 7.801 7.801 7.801
angles (deg): 85.99 85.99 85.99
Positions (direct):
Ca 0.131 0.131 0.131
Ca 0.869 0.869 0.869
Tm 0.500 0.500 0.500
Mg 0.116 0.116 0.575
Mg 0.116 0.575 0.116
Mg 0.199 0.696 0.696
Mg 0.304 0.304 0.801
Mg 0.304 0.801 0.304
Mg 0.425 0.884 0.884
Mg 0.575 0.116 0.116
Mg 0.696 0.199 0.696
Mg 0.696 0.696 0.199
Mg 0.801 0.304 0.304
Mg 0.884 0.425 0.884
Mg 0.884 0.884 0.425
Cd 0.000 0.500 0.500
Cd 0.500 0.000 0.500
Cd 0.500 0.500 0.000

Output
electronic total energy	-1.59	eV per atom